i | Entry from Alexandria: a relaxed Ca3Tl4Ag4 crystal (PBE).

N(E_F) (states/eV/f.u.): 5.1

a b c (Å): 3.547 4.995 15.774
angles (deg): 80.95 83.65 89.98
Space group P-1 (No. 2)
Inequivalent atoms, fractional coordinates:
Ca1 0.000 0.000 0.000 x1
Ca2 0.141 0.641 0.716 x2
Tl1 0.315 0.814 0.373 x2
Tl2 0.452 0.450 0.099 x2
Ag1 0.262 0.266 0.470 x2
Ag2 0.408 0.907 0.187 x2

---

ii | Entry from Alexandria: a relaxed Ca3Tl4Ag4 crystal (PBE).

N(E_F) (states/eV/f.u.): 7.3

a b c (Å): 4.621 7.852 15.939
angles (deg): 90.00 90.00 90.00
Space group Immm (No. 71)
Inequivalent atoms, fractional coordinates:
Ca1 0.000 0.000 0.000 x2
Ca2 0.000 0.500 0.126 x4
Tl1 0.000 0.000 0.227 x4
Tl2 0.000 0.193 0.500 x4
Ag1 0.000 0.313 0.333 x8

---

Most stable to least stable, the ends of the list are i and ii.

---

i | Entry from Alexandria: a relaxed Ca3Tl4Ag crystal (PBE).

N(E_F) (states/eV/f.u.): 4.5

a b c (Å): 3.813 3.813 15.219
angles (deg): 90.00 90.00 90.00
Space group P4/mmm (No. 123)
Inequivalent atoms, fractional coordinates:
Ca1 0.000 0.000 0.000 x1
Ca2 0.000 0.000 0.260 x2
Tl1 0.500 0.500 0.128 x2
Tl2 0.500 0.500 0.395 x2
Ag1 0.000 0.000 0.500 x1

---

ii | Entry from Alexandria: a relaxed Ca3Tl4Ag crystal (PBE).

N(E_F) (states/eV/f.u.): 5.7

a b c (Å): 3.655 6.709 19.363
angles (deg): 90.00 90.00 90.00
Space group Immm (No. 71)
Inequivalent atoms, fractional coordinates:
Ca1 0.000 0.000 0.000 x2
Ca2 0.000 0.500 0.233 x4
Tl1 0.000 0.257 0.379 x8
Ag1 0.000 0.000 0.500 x2

---

Most stable to least stable, the ends of the list are i and ii.

---

i | Entry from Alexandria: a relaxed Ca3Tl2Ag crystal (PBE).

N(E_F) (states/eV/f.u.): 3.6

a b c (Å): 5.4163 5.4163 13.2489
angles (deg): 90.00 90.00 120.00
Space group P-3m1 (No. 164)
Inequivalent atoms, fractional coordinates:
Ca1 0.0000 0.0000 0.2451 x2
Ca2 0.3333 0.6667 0.4122 x2
Ca3 0.3333 0.6667 0.9180 x2
Tl1 0.0000 0.0000 0.0000 x1
Tl2 0.0000 0.0000 0.5000 x1
Tl3 0.3333 0.6667 0.6693 x2
Ag1 0.3333 0.6667 0.1653 x2

---

ii | Entry from Alexandria: a relaxed Ca3Tl2Ag crystal (PBE).

N(E_F) (states/eV/f.u.): 5.3

a b c (Å): 3.853 3.853 11.390
angles (deg): 90.00 90.00 90.00
Space group P4/mmm (No. 123)
Inequivalent atoms, fractional coordinates:
Ca1 0.000 0.000 0.000 x1
Ca2 0.000 0.000 0.342 x2
Tl1 0.500 0.500 0.168 x2
Ag1 0.500 0.500 0.500 x1

---

Most stable to least stable, the ends of the list are i and ii.

---

i | Entry from Alexandria: a relaxed Ca8Tl2Ag crystal (PBE).

N(E_F) (states/eV/f.u.): 9.1

a b c (Å): 18.947 5.446 7.465
angles (deg): 90.00 108.70 90.00
Space group C2/m (No. 12)
Inequivalent atoms, fractional coordinates:
Ca1 0.025 0.000 0.286 x4
Ca2 0.097 0.500 0.944 x4
Ca3 0.161 0.500 0.457 x4
Ca4 0.203 0.000 0.798 x4
Tl1 0.182 0.000 0.205 x4
Ag1 0.000 0.500 0.500 x2

---

ii | Entry from Alexandria: a relaxed Ca8Tl2Ag crystal (PBE).

N(E_F) (states/eV/f.u.): 6.7

a b c (Å): 5.388 9.100 14.771
angles (deg): 90.00 90.00 90.00
Space group Immm (No. 71)
Inequivalent atoms, fractional coordinates:
Ca1 0.000 0.000 0.132 x4
Ca2 0.000 0.217 0.343 x8
Ca3 0.000 0.322 0.000 x4
Tl1 0.000 0.500 0.197 x4
Ag1 0.000 0.500 0.500 x2

---

Most stable to least stable, the ends of the list are i and ii.

---

i | Entry from Alexandria: a relaxed Ca2TmAg crystal (PBE).

N(E_F) (states/eV/f.u.): 3.8

a b c (Å): 3.6293 3.6293 34.1721
angles (deg): 90.00 90.00 120.00
Space group R-3m (No. 166, hexagonal axes)
Inequivalent atoms, fractional coordinates:
Ca1 0.0000 0.0000 0.1002 x6
Tm1 0.0000 0.0000 0.0000 x3
Ag1 0.0000 0.0000 0.5000 x3

---

ii | Entry from Alexandria: a relaxed Ca2TmAg crystal (PBE).

N(E_F) (states/eV/f.u.): 6.2

a b c (Å): 3.576 3.576 9.579
angles (deg): 90.00 90.00 90.00
Space group P4/mmm (No. 123)
Inequivalent atoms, fractional coordinates:
Ca1 0.000 0.000 0.206 x2
Tm1 0.500 0.500 0.500 x1
Ag1 0.500 0.500 0.000 x1

---

iii | Entry from Alexandria: a relaxed Ca2TmAg crystal (PBE).

N(E_F) (states/eV/f.u.): 3.8

a b c (Å): 3.7317 3.7317 31.5609
angles (deg): 90.00 90.00 120.00
Space group R3m (No. 160, hexagonal axes)
Inequivalent atoms, fractional coordinates:
Ca1 0.0000 0.0000 0.0000 x3
Ca2 0.0000 0.0000 0.1900 x3
Tm1 0.0000 0.0000 0.4287 x3
Ag1 0.0000 0.0000 0.5948 x3

---

Most stable to least stable, the ends of the list are ii and i.

---

i | Entry from Alexandria: a relaxed CaTm2Ag crystal (PBE).

N(E_F) (states/eV/f.u.): 5.6

a b c (Å): 3.5560 3.5560 33.4118
angles (deg): 90.00 90.00 120.00
Space group R-3m (No. 166, hexagonal axes)
Inequivalent atoms, fractional coordinates:
Ca1 0.0000 0.0000 0.0000 x3
Tm1 0.0000 0.0000 0.1002 x6
Ag1 0.0000 0.0000 0.5000 x3

---

ii | Entry from Alexandria: a relaxed CaTm2Ag crystal (PBE).

N(E_F) (states/eV/f.u.): 4.1

a b c (Å): 3.588 3.588 9.255
angles (deg): 90.00 90.00 90.00
Space group P4/mmm (No. 123)
Inequivalent atoms, fractional coordinates:
Ca1 0.000 0.000 0.000 x1
Tm1 0.500 0.500 0.311 x2
Ag1 0.000 0.000 0.500 x1

---

Most stable to least stable, the ends of the list are ii and i.

---

i | Entry from Alexandria: a relaxed CaTmZnAg crystal (PBE).

N(E_F) (states/eV/f.u.): 3.2

a b c (Å): 3.622 3.622 7.234
angles (deg): 90.00 90.00 90.00
Space group P4mm (No. 99)
Inequivalent atoms, fractional coordinates:
Ca1 0.000 0.000 0.000 x1
Tm1 0.000 0.000 0.488 x1
Zn1 0.500 0.500 0.268 x1
Ag1 0.500 0.500 0.721 x1

---

ii | Entry from Alexandria: a relaxed CaTmZnAg crystal (PBE).

N(E_F) (states/eV/f.u.): 2.5

a b c (Å): 7.215 7.215 7.215
angles (deg): 90.00 90.00 90.00
Space group F-43m (No. 216)
Inequivalent atoms, fractional coordinates:
Ca1 0.000 0.000 0.000 x4
Tm1 0.000 0.000 0.500 x4
Zn1 0.250 0.250 0.250 x4
Ag1 0.250 0.250 0.750 x4

---

Most stable to least stable, the ends of the list are i and ii.

---

i | Entry from Alexandria: a relaxed CaV3Ag crystal (PBE).

N(E_F) (states/eV/f.u.): 5.9

a b c (Å): 4.614 4.614 4.614
angles (deg): 90.00 90.00 90.00
Space group Pm-3m (No. 221)
Inequivalent atoms, fractional coordinates:
Ca1 0.000 0.000 0.000 x1
V1 0.000 0.000 0.500 x3
Ag1 0.500 0.500 0.500 x1

---

ii | Entry from Alexandria: a relaxed CaV3Ag crystal (PBE).

N(E_F) (states/eV/f.u.): 12.8

a b c (Å): 5.039 5.039 5.039
angles (deg): 90.00 90.00 90.00
Space group Pm-3m (No. 221)
Inequivalent atoms, fractional coordinates:
Ca1 0.000 0.000 0.000 x1
V1 0.000 0.500 0.500 x3
Ag1 0.500 0.500 0.500 x1

---

Most stable to least stable, the ends of the list are ii and i.

---

i | Entry from Alexandria: a relaxed CaVAg crystal (PBE).

N(E_F) (states/eV/f.u.): 2.4

a b c (Å): 8.415 3.248 9.482
angles (deg): 90.00 90.00 90.00
Space group Pnma (No. 62)
Inequivalent atoms, fractional coordinates:
Ca1 0.082 0.250 0.177 x4
V1 0.083 0.250 0.547 x4
Ag1 0.226 0.250 0.878 x4

---

ii | Entry from Alexandria: a relaxed CaVAg crystal (PBE).

N(E_F) (states/eV/f.u.): 4.5

a b c (Å): 6.920 6.920 6.920
angles (deg): 90.00 90.00 90.00
Space group F-43m (No. 216)
Inequivalent atoms, fractional coordinates:
Ca1 0.000 0.000 0.000 x4
V1 0.250 0.250 0.750 x4
Ag1 0.250 0.250 0.250 x4

---

iii | Entry from Alexandria: a relaxed CaVAg crystal (PBE).

N(E_F) (states/eV/f.u.): 5.4

a b c (Å): 4.8521 4.8521 11.8489
angles (deg): 90.00 90.00 120.00
Space group P6_3/mmc (No. 194)
Inequivalent atoms, fractional coordinates:
Ca1 0.0000 0.0000 0.2500 x2
V1 0.0000 0.0000 0.0000 x2
Ag1 0.3333 0.6667 0.2500 x2

---

Most stable to least stable, the ends of the list are i and iii.

---

i | Entry from Alexandria: a relaxed CaVAg crystal (PBE).

N(E_F) (states/eV/f.u.): 2.2

a b c (Å): 5.091 5.095 5.751
angles (deg): 72.40 72.53 74.69
Space group P-1 (No. 2)
Inequivalent atoms, fractional coordinates:
Ca1 0.219 0.219 0.356 x2
V1 0.150 0.851 0.000 x2
Ag1 0.368 0.369 0.770 x2

---

ii | Entry from Alexandria: a relaxed CaVAg crystal (PBE).

N(E_F) (states/eV/f.u.): 2.1

a b c (Å): 3.192 4.046 10.056
angles (deg): 93.34 97.07 90.45
Space group P-1 (No. 2)
Inequivalent atoms, fractional coordinates:
Ca1 0.148 0.212 0.248 x2
V1 0.350 0.312 0.954 x2
Ag1 0.279 0.261 0.571 x2

---

Most stable to least stable, the ends of the list are ii and i.

---

i | Entry from Alexandria: a relaxed CaVAg crystal (PBE).

N(E_F) (states/eV/f.u.): 2.3

a b c (Å): 9.154 7.405 4.410
angles (deg): 90.00 115.10 90.00
Space group C2 (No. 5)
Inequivalent atoms, fractional coordinates:
Ca1 0.191 0.000 0.438 x4
V1 0.053 0.667 0.858 x4
Ag1 0.112 0.297 0.859 x4

---

ii | Entry from Alexandria: a relaxed CaVAg crystal (PBE).

N(E_F) (states/eV/f.u.): 2.6

a b c (Å): 5.133 5.162 6.030
angles (deg): 104.31 90.13 119.81
Space group P1 (No. 1)
Inequivalent atoms, fractional coordinates:
Ca1 0.000 0.000 0.000 x1
Ca2 0.270 0.539 0.665 x1
V1 0.362 0.725 0.221 x1
V2 0.567 0.133 0.412 x1
Ag1 0.656 0.312 0.968 x1
Ag2 0.896 0.792 0.430 x1

---

iii | Entry from Alexandria: a relaxed CaVAg crystal (PBE).

N(E_F) (states/eV/f.u.): 3.4

a b c (Å): 4.339 4.339 7.545
angles (deg): 90.00 90.00 90.00
Space group P4/nmm (No. 129, origin choice 2)
Inequivalent atoms, fractional coordinates:
Ca1 0.250 0.750 0.000 x2
V1 0.250 0.250 0.336 x2
Ag1 0.250 0.250 0.702 x2

---

iv | Entry from Alexandria: a relaxed CaVAg crystal (PBE).

N(E_F) (states/eV/f.u.): 2.2

a b c (Å): 3.267 4.675 8.583
angles (deg): 83.88 89.91 89.07
Space group P-1 (No. 2)
Inequivalent atoms, fractional coordinates:
Ca1 0.003 0.202 0.238 x2
V1 0.394 0.333 0.556 x2
Ag1 0.494 0.730 0.100 x2

---

Most stable to least stable, the ends of the list are iv and iii.